(1)
First-principles (GGA-PBE) data for a relaxed UBeS2 crystal, as listed in Alexandria via LeMat-Bulk.

abc: 3.719 3.719 22.042
angles: 90.00 90.00 120.00
Fractional positions:
U1 0.000 0.000 0.000
U2 0.333 0.667 0.667
U3 0.667 0.333 0.333
Be1 0.000 0.000 0.500
Be2 0.333 0.667 0.167
Be3 0.667 0.333 0.833
S1 0.000 0.000 0.413
S2 0.000 0.000 0.587
S3 0.333 0.667 0.080
S4 0.333 0.667 0.253
S5 0.667 0.333 0.747
S6 0.667 0.333 0.920

=====

(2)
First-principles (GGA-PBE) data for a relaxed Be2VS crystal, as listed in Alexandria via LeMat-Bulk.

abc: 6.424 6.424 4.518
angles: 90.00 90.00 90.00
Fractional positions:
Be1 0.200 0.250 0.125
Be2 0.250 0.700 0.375
Be3 0.250 0.800 0.875
Be4 0.300 0.250 0.625
Be5 0.700 0.750 0.625
Be6 0.750 0.200 0.875
Be7 0.750 0.300 0.375
Be8 0.800 0.750 0.125
V1 0.000 0.000 0.500
V2 0.000 0.500 0.750
V3 0.500 0.000 0.250
V4 0.500 0.500 0.000
S1 0.000 0.000 0.000
S2 0.000 0.500 0.250
S3 0.500 0.000 0.750
S4 0.500 0.500 0.500

=====

Per-record electronic total energy, eV per atom: -6.46, -5.05
Per-record energy relative to the elements, uncorrected, meV/atom: -647, 128
Per-record total magnetic moment, μB/f.u.: 2.961, 0.000